## VSe2O6 (GGA+U)

Data for a relaxed VSe2O6 crystal.

Structure (CIF):
```
data_VSe2O6
_chemical_formula_sum 'V1 Se2 O6'
_symmetry_space_group_name_H-M 'P 1'
_symmetry_Int_Tables_number 1
_cell_length_a 4.930
_cell_length_b 4.930
_cell_length_c 7.207
_cell_angle_alpha 70.00
_cell_angle_beta 70.00
_cell_angle_gamma 60.00
loop_
_symmetry_equiv_pos_as_xyz
'x,y,z'
loop_
_atom_site_label
_atom_site_fract_x
_atom_site_fract_y
_atom_site_fract_z
V1 0.667 0.667 0.999
Se1 0.239 0.239 0.284
Se2 0.428 0.428 0.715
O1 0.580 0.303 0.178
O2 0.303 0.939 0.178
O3 0.939 0.580 0.178
O4 0.421 0.699 0.821
O5 0.699 0.058 0.821
O6 0.058 0.421 0.821
```

DFT total energy: -5.958 eV/atom
Relative energy among the computed polymorphs: 8.9 kJ/mol of atoms
Symmetry: No. 146